Material: MnSbTe2H
Method: DFT, GGA-PBE
State: optimized geometry

Results
Symmetry: P4/mmm, No. 123
Density of states at the Fermi level (states/eV/f.u.): 3.77
Total magnetic moment (Bohr magnetons per cell): 4.11
Offset from the most stable computed form (eV per atom): 0.198
Calculated volume (Å³/cell): 141.4
Calculated density (g/cm3): 5.08

Structure (POSCAR):
```
MnSbTe2H
1.0
-5.091 0.143 -1.413
-1.151 -3.496 3.793
-0.797 3.796 3.257
H Mn Te Sb
1 1 2 1
direct
0.500 0.500 0.500
0.000 0.000 0.000
0.500 0.000 0.000
0.000 0.500 0.000
0.000 0.000 0.500
```

Material: Ba2LaCu2
Method: DFT, GGA-PBE
State: optimized geometry

Results
Symmetry: P4/mbm, No. 127
Density of states at the Fermi level (states/eV/f.u.): 6.17
Formation energy from the elements (eV/atom): 0.0700
Total magnetic moment (Bohr magnetons per cell): 0.00
Calculated volume (Å³/cell): 324.8
Calculated density (g/cm3): 5.53

Structure (POSCAR):
```
Ba2LaCu2
1.0
-6.565 4.220 0.740
-1.262 -0.612 -7.713
-2.760 -4.434 0.803
Cu La Ba
4 2 4
direct
0.385 0.885 0.000
0.615 0.115 0.000
0.885 0.615 0.000
0.115 0.385 0.000
0.000 0.000 0.000
0.500 0.500 0.000
0.671 0.829 0.500
0.829 0.329 0.500
0.171 0.671 0.500
0.329 0.171 0.500
```

Material: Pu5Sb2H4
Method: DFT, GGA-PBE
State: optimized geometry

Results
Symmetry: Fmmm, No. 69
Density of states at the Fermi level (states/eV/f.u.): 19.85
Total magnetic moment (Bohr magnetons per cell): 17.51
Calculated total energy (eV/cell): -96.67
Calculated volume (Å³/cell): 196.2
Calculated density (g/cm3): 12.42

Structure (POSCAR):
```
Pu5Sb2H4
1.0
5.477 0.000 2.614
2.738 4.947 1.307
-0.077 0.000 7.205
Pu H Sb
5 4 2
direct
0.500 0.500 0.000
0.500 0.000 0.000
0.000 0.500 0.000
0.750 0.500 0.500
0.250 0.500 0.500
0.795 0.658 0.752
0.205 0.342 0.248
0.547 0.658 0.248
0.453 0.342 0.752
0.871 0.000 0.259
0.129 0.000 0.741
```

Material: NbTcW
Method: DFT, GGA-PBE
State: optimized geometry

Results
Symmetry: Cm, No. 8
Density of states at the Fermi level (states/eV/f.u.): 2.11
Formation energy from the elements (eV/atom): -0.0968
Total magnetic moment (Bohr magnetons per cell): 0.00
Offset from the most stable computed form (eV per atom): 0.071
Calculated volume (Å³/cell): 194.9
Calculated density (g/cm3): 12.77

Structure (POSCAR):
```
NbTcW
1.0
5.518 0.000 0.005
0.000 4.496 0.000
-5.478 0.000 7.851
Nb Tc W
4 4 4
direct
0.280 0.000 0.765
0.280 0.500 0.265
0.281 0.500 0.595
0.281 0.000 0.095
0.278 0.500 0.927
0.782 0.500 0.268
0.782 0.000 0.768
0.278 0.000 0.427
0.784 0.500 0.601
0.782 0.500 0.933
0.782 0.000 0.433
0.784 0.000 0.101
```

Material: RbAg4I5
Method: DFT, GGA-PBE
State: optimized geometry

Results
Symmetry: P1, No. 1
Density of states at the Fermi level (states/eV/f.u.): 0.00
Formation energy (no corrections) (kcal/mol of atoms): -11.4
Total magnetic moment (Bohr magnetons per cell): 0.00
Calculated volume (Å³/cell): 1545.4
Calculated density (g/cm3): 4.95

Structure (POSCAR):
```
RbAg4I5
1.0
-9.463 0.589 6.582
-5.946 -6.123 -7.865
3.181 -9.819 5.155
I Ag Rb
20 16 4
direct
0.160 0.417 0.092
0.837 0.097 0.413
0.697 0.699 0.480
0.082 0.837 0.576
0.659 0.337 0.652
0.295 0.507 0.698
0.418 0.166 0.908
0.747 0.949 0.793
0.200 0.058 0.238
0.505 0.306 0.302
0.902 0.590 0.831
0.949 0.756 0.189
0.584 0.913 0.150
0.051 0.204 0.741
0.006 0.447 0.441
0.550 0.549 0.990
0.799 0.253 0.041
0.250 0.807 0.945
0.338 0.666 0.337
0.445 0.998 0.545
0.396 0.490 0.173
0.674 0.132 0.223
0.982 0.370 0.913
0.199 0.814 0.192
0.667 0.095 0.604
0.296 0.562 0.947
0.919 0.636 0.582
0.835 0.891 0.574
0.090 0.676 0.384
0.421 0.127 0.149
0.237 0.325 0.866
0.406 0.920 0.318
0.125 0.676 0.766
0.774 0.878 0.319
0.605 0.324 0.892
0.895 0.390 0.663
0.761 0.499 0.236
0.506 0.755 0.740
0.261 0.248 0.502
0.994 0.003 0.983
```

Material: SrSi4Ir
Method: DFT, GGA-PBE
State: optimized geometry

Results
Symmetry: F-43m, No. 216
Density of states at the Fermi level (states/eV/f.u.): 3.69
Formation energy (no corrections) (kcal/mol of atoms): 8.5
Total magnetic moment (Bohr magnetons per cell): 0.00
Calculated volume (Å³/cell): 104.0
Calculated density (g/cm3): 6.26

Structure (POSCAR):
```
SrSi4Ir
1.0
0.000 3.732 3.732
3.732 0.000 3.732
3.732 3.732 0.000
Ir Si Sr
1 4 1
direct
0.000 0.000 0.000
0.373 0.882 0.373
0.882 0.373 0.373
0.373 0.373 0.373
0.373 0.373 0.882
0.750 0.750 0.750
```

Material: VP
Method: DFT, GGA-PBE
State: optimized geometry

Results
Symmetry: I4/m, No. 87
Density of states at the Fermi level (states/eV/f.u.): 1.60
Formation energy from the elements (eV/atom): -0.4140
Total magnetic moment (Bohr magnetons per cell): 0.00
Calculated volume (Å³/cell): 272.4
Calculated density (g/cm3): 3.99

Structure (POSCAR):
```
VP
1.0
7.665 0.000 0.000
0.000 7.665 0.000
0.000 0.000 4.637
V P
8 8
direct
0.161 0.384 0.500
0.839 0.616 0.500
0.616 0.161 0.500
0.339 0.116 0.000
0.116 0.661 0.000
0.384 0.839 0.500
0.661 0.884 0.000
0.884 0.339 0.000
0.784 0.608 0.000
0.216 0.392 0.000
0.108 0.716 0.500
0.608 0.216 0.000
0.892 0.284 0.500
0.392 0.784 0.000
0.284 0.108 0.500
0.716 0.892 0.500
```

Material: Al2SiCl
Method: DFT, GGA-PBE
State: optimized geometry

Results
Symmetry: I-42d, No. 122
Density of states at the Fermi level (states/eV/f.u.): 2.78
Formation energy (no corrections) (kcal/mol of atoms): 1.6
Total magnetic moment (Bohr magnetons per cell): 0.00
Offset from the most stable computed form (eV per atom): 0.110
Calculated volume (Å³/cell): 201.4
Calculated density (g/cm3): 1.94

Structure (POSCAR):
```
Al2SiCl
1.0
-2.658 0.152 5.091
-5.080 -0.490 -2.637
-3.481 -6.248 1.610
Cl Si Al
2 2 4
direct
0.750 0.250 0.500
0.000 0.000 0.000
0.250 0.750 0.500
0.500 0.500 0.000
0.586 0.125 0.250
0.164 0.625 0.250
0.375 0.414 0.750
0.875 0.836 0.750
```

Material: CePrHgGe
Method: DFT, GGA-PBE
State: optimized geometry

Results
Symmetry: F-43m, No. 216
Density of states at the Fermi level (states/eV/f.u.): 9.98
Formation energy from the elements (eV/atom): -0.4890
Total magnetic moment (Bohr magnetons per cell): 1.08
Calculated volume (Å³/cell): 106.6
Calculated density (g/cm3): 8.64

Structure (POSCAR):
```
CePrHgGe
1.0
-5.218 0.847 -0.613
-3.116 -3.865 -1.918
-3.485 -2.440 3.196
Pr Ce Ge Hg
1 1 1 1
direct
0.000 0.000 0.000
0.500 0.500 0.500
0.250 0.250 0.250
0.750 0.750 0.750
```

Material: BaSb2RuI
Method: DFT, GGA-PBE
State: optimized geometry

Results
Symmetry: P4/mmm, No. 123
Density of states at the Fermi level (states/eV/f.u.): 4.01
Formation energy (no corrections) (kcal/mol of atoms): -6.7
Total magnetic moment (Bohr magnetons per cell): 0.00
Offset from the most stable computed form (eV per atom): 0.000
Calculated volume (Å³/cell): 159.7
Calculated density (g/cm3): 6.33

Structure (POSCAR):
```
BaSb2RuI
1.0
5.149 0.000 0.000
0.000 5.149 0.000
0.000 0.000 6.021
I Ru Ba Sb
1 1 1 2
direct
0.000 0.000 0.500
0.000 0.000 0.000
0.500 0.500 0.500
0.500 0.000 0.000
0.000 0.500 0.000
```

Material: Li4Tb3Pt4
Method: DFT, GGA-PBE
State: optimized geometry

Results
Symmetry: Immm, No. 71
Density of states at the Fermi level (states/eV/f.u.): 4.47
Formation energy from the elements (eV/atom): -0.8115
Total magnetic moment (Bohr magnetons per cell): 0.00
Calculated volume (Å³/cell): 207.1
Calculated density (g/cm3): 10.30

Structure (POSCAR):
```
Li4Tb3Pt4
1.0
3.861 0.000 -0.960
-0.906 6.452 -3.644
-0.022 0.281 8.150
Tb Pt Li
3 4 4
direct
0.124 0.124 0.247
0.000 0.500 0.000
0.876 0.876 0.753
0.500 0.196 0.000
0.777 0.277 0.554
0.500 0.804 0.000
0.223 0.723 0.446
0.676 0.484 0.352
0.324 0.132 0.648
0.324 0.516 0.648
0.676 0.868 0.352
```

Material: KCd2Pb
Method: DFT, GGA-PBE
State: optimized geometry

Results
Symmetry: I-4m2, No. 119
Density of states at the Fermi level (states/eV/f.u.): 2.41
Formation energy from the elements (eV/atom): 0.0302
Total magnetic moment (Bohr magnetons per cell): 0.00
Offset from the most stable computed form (eV per atom): 0.132
Calculated volume (Å³/cell): 114.8
Calculated density (g/cm3): 6.82

Structure (POSCAR):
```
KCd2Pb
1.0
5.462 -0.298 0.000
0.383 5.456 0.000
-2.922 -2.579 3.837
Pb Cd K
1 2 1
direct
0.750 0.250 0.500
0.250 0.750 0.500
0.000 0.000 0.000
0.500 0.500 0.000
```

Material: LaTb2ErSc
Method: DFT, GGA-PBE
State: optimized geometry

Results
Symmetry: Pmmm, No. 47
Density of states at the Fermi level (states/eV/f.u.): 7.29
Formation energy from the elements (eV/atom): 0.2108
Total magnetic moment (Bohr magnetons per cell): 0.01
Calculated volume (Å³/cell): 327.9
Calculated density (g/cm3): 6.78

Structure (POSCAR):
```
LaTb2ErSc
1.0
-1.840 -2.412 -4.553
3.485 -7.201 2.406
-6.059 -1.794 3.398
Sc La Er Tb
2 2 2 4
direct
0.500 0.000 0.250
0.500 0.000 0.750
0.000 0.000 0.500
0.000 0.000 0.000
0.000 0.500 0.250
0.000 0.500 0.750
0.500 0.686 0.000
0.500 0.314 0.000
0.500 0.686 0.500
0.500 0.314 0.500
```

Material: Mn2SiSe
Method: DFT, GGA-PBE
State: optimized geometry

Results
Symmetry: Fm-3m, No. 225
Density of states at the Fermi level (states/eV/f.u.): 3.47
Formation energy (no corrections) (kcal/mol of atoms): 2.4
Total magnetic moment (Bohr magnetons per cell): 0.00
Offset from the most stable computed form (eV per atom): 0.210
Calculated volume (Å³/cell): 48.4
Calculated density (g/cm3): 7.45

Structure (POSCAR):
```
Mn2SiSe
1.0
0.000 2.892 2.892
2.892 0.000 2.892
2.892 2.892 0.000
Si Mn Se
1 2 1
direct
0.000 0.000 0.000
0.250 0.250 0.250
0.750 0.750 0.750
0.500 0.500 0.500
```

Material: Ca8GaAg2
Method: DFT, GGA-PBE
State: optimized geometry

Results
Symmetry: Cm, No. 8
Density of states at the Fermi level (states/eV/f.u.): 7.94
Formation energy from the elements (eV/atom): -0.1662
Total magnetic moment (Bohr magnetons per cell): 0.00
Offset from the most stable computed form (eV per atom): 0.035
Calculated volume (Å³/cell): 370.6
Calculated density (g/cm3): 2.72

Structure (POSCAR):
```
Ca8GaAg2
1.0
5.993 0.053 -1.011
-2.019 7.453 -3.109
-0.022 -0.089 8.323
Ca Ag Ga
8 2 1
direct
0.810 0.641 0.641
0.575 0.333 0.078
0.989 0.778 0.221
0.385 0.929 0.673
0.385 0.673 0.929
0.174 0.365 0.365
0.575 0.078 0.333
0.989 0.221 0.778
0.495 0.694 0.321
0.495 0.321 0.694
0.128 0.001 0.001
```

Material: Ni2WCl
Method: DFT, GGA-PBE
State: optimized geometry

Results
Symmetry: Imm2, No. 44
Density of states at the Fermi level (states/eV/f.u.): 3.21
Formation energy (no corrections) (kcal/mol of atoms): 8.4
Total magnetic moment (Bohr magnetons per cell): 0.00
Offset from the most stable computed form (eV per atom): 0.217
Calculated volume (Å³/cell): 68.1
Calculated density (g/cm3): 8.21

Structure (POSCAR):
```
Ni2WCl
1.0
6.711 1.060 -0.154
4.375 5.198 0.154
-5.085 -3.940 2.191
Ni Cl W
2 1 1
direct
0.653 0.153 0.500
0.047 0.047 0.000
0.320 0.820 0.500
0.480 0.480 0.000
```

Material: ZrNi2Se
Method: DFT, GGA-PBE
State: optimized geometry

Results
Symmetry: I-4m2, No. 119
Density of states at the Fermi level (states/eV/f.u.): 4.03
Formation energy (no corrections) (kcal/mol of atoms): -5.1
Total magnetic moment (Bohr magnetons per cell): 0.00
Calculated volume (Å³/cell): 61.1
Calculated density (g/cm3): 7.82

Structure (POSCAR):
```
ZrNi2Se
1.0
-1.700 0.540 -4.608
1.850 -3.321 -3.156
-2.137 -0.294 4.445
Zr Ni Se
1 2 1
direct
0.750 0.250 0.500
0.250 0.750 0.500
0.000 0.000 0.000
0.500 0.500 0.000
```

Material: Er3GaAg
Method: DFT, GGA-PBE
State: optimized geometry

Results
Symmetry: C2/c, No. 15
Density of states at the Fermi level (states/eV/f.u.): 4.39
Formation energy from the elements (eV/atom): -0.2742
Total magnetic moment (Bohr magnetons per cell): 0.00
Calculated volume (Å³/cell): 499.3
Calculated density (g/cm3): 9.04

Structure (POSCAR):
```
Er3GaAg
1.0
-6.176 -0.725 0.207
0.174 -8.668 4.495
-0.573 -0.822 9.715
Ga Er Ag
4 12 4
direct
0.175 0.580 0.970
0.675 0.970 0.580
0.325 0.030 0.420
0.825 0.420 0.030
0.891 0.048 0.255
0.491 0.381 0.288
0.609 0.745 0.952
0.391 0.255 0.048
0.509 0.619 0.712
0.527 0.191 0.697
0.973 0.303 0.809
0.027 0.697 0.191
0.109 0.952 0.745
0.991 0.288 0.381
0.473 0.809 0.303
0.009 0.712 0.619
0.750 0.999 0.001
0.750 0.506 0.494
0.250 0.494 0.506
0.250 0.001 0.999
```

Material: CsBaSrTl
Method: DFT, GGA-PBE
State: optimized geometry

Results
Symmetry: F-43m, No. 216
Density of states at the Fermi level (states/eV/f.u.): 1.68
Formation energy from the elements (eV/atom): -0.0412
Total magnetic moment (Bohr magnetons per cell): 0.00
Calculated volume (Å³/cell): 177.2
Calculated density (g/cm3): 5.27

Structure (POSCAR):
```
CsBaSrTl
1.0
6.304 0.000 0.000
3.152 5.460 0.000
3.152 1.820 5.148
Tl Sr Cs Ba
1 1 1 1
direct
0.250 0.250 0.250
0.000 0.000 0.000
0.750 0.750 0.750
0.500 0.500 0.500
```

Material: CoCu2Pt
Method: DFT, GGA-PBE
State: optimized geometry

Results
Symmetry: Fm-3m, No. 225
Density of states at the Fermi level (states/eV/f.u.): 7.50
Formation energy from the elements (eV/atom): 0.0747
Total magnetic moment (Bohr magnetons per cell): 1.88
Calculated volume (Å³/cell): 51.3
Calculated density (g/cm3): 12.34

Structure (POSCAR):
```
CoCu2Pt
1.0
0.440 -3.533 -2.171
-0.814 -3.671 1.804
-3.367 -2.181 -1.137
Cu Pt Co
2 1 1
direct
0.250 0.250 0.250
0.750 0.750 0.750
0.500 0.500 0.500
0.000 0.000 0.000
```

Material: Pm2Co2Si3
Method: DFT, GGA-PBE
State: optimized geometry

Results
Symmetry: Cmcm, No. 63
Density of states at the Fermi level (states/eV/f.u.): 5.74
Formation energy (no corrections) (kcal/mol of atoms): -14.2
Total magnetic moment (Bohr magnetons per cell): 0.07
Offset from the most stable computed form (eV per atom): 0.000
Calculated volume (Å³/cell): 242.9
Calculated density (g/cm3): 6.73

Structure (POSCAR):
```
Pm2Co2Si3
1.0
0.531 0.839 -4.041
-3.804 -5.248 -1.590
-7.366 4.688 2.147
Si Pm Co
6 4 4
direct
0.436 0.568 0.872
0.564 0.432 0.128
0.777 0.250 0.555
0.564 0.068 0.128
0.223 0.750 0.445
0.436 0.932 0.872
0.840 0.750 0.679
0.160 0.250 0.321
0.946 0.250 0.892
0.054 0.750 0.108
0.307 0.443 0.613
0.693 0.557 0.387
0.693 0.943 0.387
0.307 0.057 0.613
```